# LaCo2F

An optimized crystal structure of LaCo2F (GGA+U, Alexandria).

Results
- Total moment: 0.858 μB/atom
- Total energy: -4.4298 eV per atom
- ΔE to the lowest computed polymorph: 0.0000 eV/atom

Cell lengths 9.0666, 9.0666, 9.0666 Å; angles 152.31, 152.31, 39.56 degrees
Closest atoms and distances in Å follow each position.
Sites, in units of the cell vectors:
La 0.3750 0.6250 0.7500  4 F 3.07, 8 Co 3.23
La 0.6250 0.3750 0.2500  4 F 3.07, 8 Co 3.23
Co 0.0000 0.0000 0.0000  2 Co 2.17, 2 F 2.39
Co 0.0000 0.0000 0.5000  2 Co 2.17, 2 F 2.39
Co 0.0000 0.5000 0.0000  2 Co 2.17, 2 F 2.39
Co 0.5000 0.0000 0.5000  2 Co 2.17, 2 F 2.39
F 0.1250 0.8750 0.2500  4 Co 2.39
F 0.8750 0.1250 0.7500  4 Co 2.39